1.
A geometry-optimized BaIrOs2 structure, computed with PBE.

The total energy comes out at -6.799 eV per atom. The calculated formation energy comes out at 6.0 eV/f.u.

It has space group I4/mmm (No. 139), with a = 4.292 Å, b = 4.292 Å, c = 8.071 Å, α = 90.00°, β = 90.00° and γ = 90.00°. Symmetry generates all atoms from Ba at (0.000, 0.000, 0.000), Ir at (0.000, 0.000, 0.500) and Os at (0.000, 0.500, 0.250).

=====

2.
A geometry-optimized NdGaCu2Ni structure, computed with PBE.

The total energy comes out at -4.660 eV per atom. The calculated formation energy comes out at -1.5 eV/f.u.

It has space group Imm2 (No. 44), with a = 4.022 Å, b = 4.070 Å, c = 10.423 Å, α = 90.00°, β = 90.00° and γ = 90.00°. Symmetry generates all atoms from Nd at (0.000, 0.000, 0.000), Ga at (0.000, 0.500, 0.756), Cu at (0.000, 0.000, 0.617), Cu at (0.000, 0.500, 0.256) and Ni at (0.000, 0.000, 0.387).

=====

3.
A geometry-optimized AcPr2Sm6Dy structure, computed with PBE.

The total energy comes out at -4.538 eV per atom. The calculated formation energy comes out at 1.2 eV/f.u.

It has space group C2/c (No. 15), with a = 9.333 Å, b = 15.631 Å, c = 9.802 Å, α = 90.00°, β = 96.00° and γ = 90.00°. Symmetry generates all atoms from Ac at (0.000, 0.023, 0.250), Pr at (0.244, 0.442, 0.455), Sm at (0.061, 0.193, 0.944), Sm at (0.104, 0.394, 0.117), Sm at (0.209, 0.227, 0.312) and Dy at (0.000, 0.410, 0.750).

=====

4.
A geometry-optimized InAuF3 structure, computed with PBE.

The total energy comes out at -3.777 eV per atom. The formation energy without anion corrections comes out at -1451 meV/atom.

It has space group Pm-3m (No. 221), with a = 4.317 Å, b = 4.317 Å, c = 4.317 Å, α = 90.00°, β = 90.00° and γ = 90.00°. Symmetry generates all atoms from In at (0.000, 0.000, 0.000), Au at (0.500, 0.500, 0.500) and F at (0.000, 0.000, 0.500).

=====

5.
A geometry-optimized BaMoAu2 structure, computed with PBE.

The total energy comes out at -4.509 eV per atom. The calculated formation energy comes out at 1.3 eV/f.u.

It has space group Pmm2 (No. 25), with a = 3.453 Å, b = 4.533 Å, c = 6.638 Å, α = 90.00°, β = 90.00° and γ = 90.00°. Symmetry generates all atoms from Ba at (0.000, 0.000, 0.000), Mo at (0.000, 0.500, 0.567), Au at (0.500, 0.000, 0.563) and Au at (0.500, 0.500, 0.250).

=====

6.
A geometry-optimized Y2TiNb structure, computed with PBE.

The total energy comes out at -6.945 eV per atom. The calculated formation energy comes out at 3.1 eV/f.u.

It has space group I-42d (No. 122), with a = 7.993 Å, b = 7.993 Å, c = 6.179 Å, α = 90.00°, β = 90.00° and γ = 90.00°. Symmetry generates all atoms from Y at (0.246, 0.750, 0.125), Ti at (0.000, 0.000, 0.000) and Nb at (0.000, 0.000, 0.500).

=====

7.
A geometry-optimized Mg2Zn2F7 structure, computed with PBE.

The total energy comes out at -4.378 eV per atom. The formation energy without anion corrections comes out at -2666 meV/atom.

It has space group C2/m (No. 12), with a = 8.514 Å, b = 6.264 Å, c = 5.021 Å, α = 90.00°, β = 93.24° and γ = 90.00°. Symmetry generates all atoms from Mg at (0.238, 0.000, 0.465), Zn at (0.000, 0.245, 0.000), F at (0.000, 0.000, 0.500), F at (0.078, 0.500, 0.772) and F at (0.196, 0.276, 0.260).

=====

8.
A geometry-optimized ThNiAu2 structure, computed with PBE.

The total energy comes out at -5.504 eV per atom. The calculated formation energy comes out at -2.3 eV/f.u.

It has space group C2/c (No. 15), with a = 5.282 Å, b = 13.060 Å, c = 5.288 Å, α = 90.00°, β = 118.88° and γ = 90.00°. Symmetry generates all atoms from Th at (0.000, 0.140, 0.250), Ni at (0.000, 0.250, 0.750) and Au at (0.175, 0.414, 0.098).